Material: Ba2Cd15Sn2
Method: DFT, PBE
State: relaxed

Cell and atoms, written as POSCAR:
```
Ba2Cd15Sn2
1.0
5.310 3.066 4.979
-5.310 3.066 4.979
0.000 -6.131 4.979
Ba Cd Sn
2 15 2
Cartesian
0.000 0.000 2.482
0.000 0.000 12.454
-2.655 -1.533 4.979
0.000 -3.191 4.799
-2.764 1.596 4.799
-1.627 -2.818 7.468
-3.254 0.000 7.468
-2.764 -1.596 10.137
-2.655 1.533 9.958
1.627 -2.818 7.468
0.000 3.066 4.979
-1.627 2.818 7.468
2.764 1.596 4.799
3.254 0.000 7.468
1.627 2.818 7.468
2.764 -1.596 10.137
0.000 3.191 10.137
0.000 0.000 5.979
0.000 0.000 8.957
```

- Formation enthalpy at 0 K: -0.1860 eV/atom
- SG: R-3m

=====

Material: Ba2Cd2Sn
Method: DFT, PBE
State: relaxed

Cell and atoms, written as POSCAR:
```
Ba2Cd2Sn
1.0
6.195 -2.561 0.000
6.195 2.561 0.000
-5.835 0.000 11.433
Ba Cd Sn
4 4 2
Cartesian
-1.743 0.000 3.938
1.781 0.000 1.351
4.774 0.000 10.082
8.298 0.000 7.495
1.822 0.000 5.128
5.402 0.000 1.266
1.153 0.000 10.167
4.733 0.000 6.305
-0.405 0.000 7.537
6.960 0.000 3.896
```

- Formation enthalpy at 0 K: -0.4512 eV/atom
- SG: C2/m

=====

Material: BaCdSn4
Method: DFT, PBE
State: relaxed

Cell and atoms, written as POSCAR:
```
BaCdSn4
1.0
5.829 -4.711 0.000
5.829 4.711 0.000
-0.753 0.000 6.813
Ba Cd Sn
2 2 8
Cartesian
2.405 0.000 0.873
8.499 0.000 5.940
-0.377 0.000 3.406
5.452 0.000 3.406
2.730 1.462 4.544
5.347 2.342 1.450
5.558 2.342 5.363
2.730 -1.462 4.544
8.174 1.462 2.269
5.347 -2.342 1.450
5.558 -2.342 5.363
8.174 -1.462 2.269
```

- Formation enthalpy at 0 K: -0.2543 eV/atom
- SG: C2/m

=====

Material: BaCdSn2
Method: DFT, PBE
State: relaxed

Cell and atoms, written as POSCAR:
```
BaCdSn2
1.0
5.256 0.000 0.000
0.000 4.758 0.000
-2.560 0.000 10.334
Ba Cd Sn
2 2 4
Cartesian
0.065 1.190 2.188
2.631 3.569 8.146
0.116 1.190 6.842
2.580 3.569 3.493
-0.016 3.569 5.084
-0.445 1.190 9.648
3.141 3.569 0.687
2.711 1.190 5.251
```

- Formation enthalpy at 0 K: -0.4652 eV/atom
- SG: P2_1/m

=====

Material: Ba2Cd2Sn
Method: DFT, PBE
State: relaxed

Cell and atoms, written as POSCAR:
```
Ba2Cd2Sn
1.0
-2.098 2.098 10.705
2.098 -2.098 10.705
2.098 2.098 -10.705
Ba Cd Sn
2 2 1
Cartesian
0.000 0.000 2.129
0.000 0.000 19.280
2.098 0.000 5.352
0.000 2.098 5.352
0.000 0.000 10.705
```

- Formation enthalpy at 0 K: -0.3123 eV/atom
- SG: I4/mmm

=====

Material: Ba3CdSn
Method: DFT, PBE
State: relaxed

Cell and atoms, written as POSCAR:
```
Ba3CdSn
1.0
3.025 -12.074 0.000
3.025 12.074 0.000
0.000 0.000 6.043
Ba Cd Sn
6 2 2
Cartesian
3.025 10.180 4.532
3.025 6.031 4.532
3.025 1.895 4.532
3.025 -1.895 1.511
3.025 -6.031 1.511
3.025 -10.180 1.511
3.025 8.241 1.511
3.025 -8.241 4.532
3.025 3.900 1.511
3.025 -3.900 4.532
```

- Formation enthalpy at 0 K: -0.4219 eV/atom
- SG: Cmcm

=====

Material: Ba4CdSn2
Method: DFT, PBE
State: relaxed

Cell and atoms, written as POSCAR:
```
Ba4CdSn2
1.0
3.005 1.735 9.761
-3.005 1.735 9.761
0.000 -3.470 9.761
Ba Cd Sn
4 1 2
Cartesian
0.000 0.000 3.661
0.000 0.000 10.991
0.000 0.000 18.293
0.000 0.000 25.623
0.000 0.000 14.642
0.000 0.000 7.319
0.000 0.000 21.966
```

- Formation enthalpy at 0 K: -0.5425 eV/atom
- SG: R-3m

=====

Material: BaCdSn2
Method: DFT, PBE
State: relaxed

Cell and atoms, written as POSCAR:
```
BaCdSn2
1.0
2.479 1.431 6.167
-2.479 1.431 6.167
0.000 -2.863 6.167
Ba Cd Sn
1 1 2
Cartesian
0.000 0.000 0.000
0.000 0.000 9.251
0.000 0.000 4.013
0.000 0.000 14.489
```

- Formation enthalpy at 0 K: -0.3252 eV/atom
- SG: R-3m

=====

Material: Ba3Cd4Sn4
Method: DFT, PBE
State: relaxed

Cell and atoms, written as POSCAR:
```
Ba3Cd4Sn4
1.0
14.779 -2.482 0.000
14.779 2.482 0.000
-0.831 0.000 4.907
Ba Cd Sn
3 4 4
Cartesian
0.000 0.000 0.000
9.647 0.000 4.177
19.080 0.000 0.730
2.327 0.000 2.917
7.192 0.000 1.216
21.534 0.000 3.691
26.399 0.000 1.990
5.134 0.000 3.384
12.938 0.000 2.215
15.788 0.000 2.692
23.592 0.000 1.523
```

- Formation enthalpy at 0 K: -0.4801 eV/atom
- SG: C2/m

=====

Material: Ba3CdSn
Method: DFT, PBE
State: relaxed

Cell and atoms, written as POSCAR:
```
Ba3CdSn
1.0
6.739 0.000 0.000
0.000 6.739 0.000
0.000 0.000 6.739
Ba Cd Sn
3 1 1
Cartesian
0.000 0.000 3.370
0.000 3.370 0.000
3.370 0.000 0.000
3.370 3.370 3.370
0.000 0.000 0.000
```

- Formation enthalpy at 0 K: -0.0967 eV/atom
- SG: Pm-3m

=====

Material: BaCd3Sn
Method: DFT, PBE
State: relaxed

Cell and atoms, written as POSCAR:
```
BaCd3Sn
1.0
3.413 -3.434 0.000
3.413 3.434 0.000
-3.404 0.000 6.277
Ba Cd Sn
1 3 1
Cartesian
0.000 0.000 0.000
1.711 1.722 3.149
3.413 0.000 1.490
1.711 -1.722 3.149
0.010 0.000 4.882
```

- Formation enthalpy at 0 K: -0.3704 eV/atom
- SG: Cm

=====

Material: Ba2Cd2Sn
Method: DFT, PBE
State: relaxed

Cell and atoms, written as POSCAR:
```
Ba2Cd2Sn
1.0
-3.384 3.384 4.331
3.384 -3.384 4.331
3.384 3.384 -4.331
Ba Cd Sn
2 2 1
Cartesian
3.384 0.000 2.165
0.000 3.384 2.165
0.000 0.000 1.366
0.000 0.000 7.295
0.000 0.000 4.331
```

- Formation enthalpy at 0 K: -0.2012 eV/atom
- SG: I4/mmm

=====

Material: BaCd12Sn4
Method: DFT, PBE
State: relaxed

Cell and atoms, written as POSCAR:
```
BaCd12Sn4
1.0
-5.033 5.033 5.033
5.033 -5.033 5.033
5.033 5.033 -5.033
Ba Cd Sn
1 12 4
Cartesian
0.000 0.000 0.000
3.580 0.000 1.492
6.486 0.000 1.492
5.033 3.540 -1.453
1.492 3.580 0.000
3.540 -1.453 5.033
5.033 3.540 1.453
0.000 1.492 3.580
1.492 6.486 0.000
3.540 1.453 5.033
0.000 1.492 6.486
-1.453 5.033 3.540
1.453 5.033 3.540
2.516 2.516 -2.516
2.516 -2.516 2.516
-2.516 2.516 2.516
2.516 2.516 2.516
```

- Formation enthalpy at 0 K: 0.0455 eV/atom
- SG: Im-3

=====

Material: BaCdSn4
Method: DFT, PBE
State: relaxed

Cell and atoms, written as POSCAR:
```
BaCdSn4
1.0
0.000 4.514 4.514
4.514 0.000 4.514
4.514 4.514 0.000
Ba Cd Sn
1 1 4
Cartesian
0.000 0.000 0.000
2.257 2.257 2.257
5.637 3.391 3.391
3.391 5.637 3.391
3.391 3.391 5.637
5.637 5.637 5.637
```

- Formation enthalpy at 0 K: -0.2249 eV/atom
- SG: F-43m

=====

Material: BaCd6Sn6
Method: DFT, PBE
State: relaxed

Cell and atoms, written as POSCAR:
```
BaCd6Sn6
1.0
-3.064 5.155 5.601
3.064 -5.155 5.601
3.064 5.155 -5.601
Ba Cd Sn
1 6 6
Cartesian
0.000 0.000 0.000
1.532 2.577 -2.800
1.532 -2.577 2.800
3.064 0.000 2.453
-1.532 2.577 2.800
1.532 2.577 2.800
0.000 5.155 3.148
3.064 2.114 0.000
0.000 3.638 0.000
0.000 0.000 4.011
0.000 0.000 7.191
0.000 6.671 0.000
0.000 3.040 5.601
```

- Formation enthalpy at 0 K: -0.0893 eV/atom
- SG: Immm

=====

Material: BaCdSn3
Method: DFT, PBE
State: relaxed

Cell and atoms, written as POSCAR:
```
BaCdSn3
1.0
6.311 0.000 0.000
0.000 6.311 0.000
0.000 0.000 6.311
Ba Cd Sn
1 1 3
Cartesian
0.000 0.000 0.000
3.156 3.156 3.156
0.000 0.000 3.156
0.000 3.156 0.000
3.156 0.000 0.000
```

- Formation enthalpy at 0 K: 0.9546 eV/atom
- SG: Pm-3m

=====

Material: BaCd3Sn
Method: DFT, PBE
State: relaxed

Cell and atoms, written as POSCAR:
```
BaCd3Sn
1.0
5.693 0.000 0.000
0.000 5.693 0.000
0.000 0.000 5.693
Ba Cd Sn
1 3 1
Cartesian
0.000 0.000 0.000
0.000 2.846 2.846
2.846 0.000 2.846
2.846 2.846 0.000
2.846 2.846 2.846
```

- Formation enthalpy at 0 K: 0.0070 eV/atom
- SG: Pm-3m

=====

Material: BaCd6Sn2
Method: DFT, PBE
State: relaxed

Cell and atoms, written as POSCAR:
```
BaCd6Sn2
1.0
4.762 0.000 0.000
0.000 4.762 0.000
0.000 0.000 10.580
Ba Cd Sn
1 6 2
Cartesian
0.000 0.000 0.000
0.000 0.000 5.290
0.000 2.381 3.289
0.000 2.381 7.292
2.381 0.000 3.289
2.381 0.000 7.292
2.381 2.381 5.290
2.381 2.381 1.487
2.381 2.381 9.094
```

- Formation enthalpy at 0 K: -0.1907 eV/atom
- SG: P4/mmm

=====

Material: BaCdSn
Method: DFT, PBE
State: relaxed

Cell and atoms, written as POSCAR:
```
BaCdSn
1.0
5.004 0.000 0.000
0.000 5.004 0.000
0.000 0.000 8.094
Ba Cd Sn
2 2 2
Cartesian
1.251 1.251 1.487
3.753 3.753 6.607
1.251 3.753 4.047
3.753 1.251 4.047
1.251 1.251 5.825
3.753 3.753 2.269
```

- Formation enthalpy at 0 K: -0.5446 eV/atom
- SG: P4/nmm

=====

Material: Ba5Cd4Sn
Method: DFT, PBE
State: relaxed

Cell and atoms, written as POSCAR:
```
Ba5Cd4Sn
1.0
4.267 0.000 0.000
0.000 4.267 0.000
0.000 0.000 21.207
Ba Cd Sn
5 4 1
Cartesian
0.000 0.000 0.000
0.000 0.000 4.255
0.000 0.000 8.560
0.000 0.000 12.646
0.000 0.000 16.951
2.134 2.134 2.104
2.134 2.134 6.357
2.134 2.134 14.850
2.134 2.134 19.103
2.134 2.134 10.603
```

- Formation enthalpy at 0 K: -0.3695 eV/atom
- SG: P4/mmm

=====

Material: Ba2Cd5Sn
Method: DFT, PBE
State: relaxed

Cell and atoms, written as POSCAR:
```
Ba2Cd5Sn
1.0
2.606 -9.241 0.000
2.606 9.241 0.000
0.000 0.000 10.221
Ba Cd Sn
4 10 2
Cartesian
0.000 0.000 0.000
0.000 0.000 5.110
2.606 5.477 7.666
2.606 -5.477 2.555
2.606 5.791 1.090
2.606 5.791 4.021
2.606 2.815 0.196
2.606 2.815 4.915
2.606 1.785 7.666
2.606 -1.785 2.555
2.606 -2.815 5.306
2.606 -2.815 10.025
2.606 -5.791 6.200
2.606 -5.791 9.131
2.606 1.106 2.555
2.606 -1.106 7.666
```

- Formation enthalpy at 0 K: -0.3608 eV/atom
- SG: Cmcm

=====

Material: BaCdSn
Method: DFT, PBE
State: relaxed

Cell and atoms, written as POSCAR:
```
BaCdSn
1.0
-2.643 4.292 4.326
2.643 -4.292 4.326
2.643 4.292 -4.326
Ba Cd Sn
2 2 2
Cartesian
0.000 0.000 0.000
0.000 4.292 0.786
2.643 2.787 -1.025
0.000 1.505 3.301
2.643 -1.634 1.742
2.643 1.634 1.742
```

- Formation enthalpy at 0 K: -0.5112 eV/atom
- SG: Imm2

=====

Material: Ba3Cd8Sn
Method: DFT, PBE
State: relaxed

Cell and atoms, written as POSCAR:
```
Ba3Cd8Sn
1.0
3.174 1.833 10.215
-3.174 1.833 10.215
0.000 -3.665 10.215
Ba Cd Sn
3 8 1
Cartesian
0.000 0.000 0.000
0.000 0.000 3.897
0.000 0.000 15.612
-1.598 -0.923 12.173
0.000 -1.837 7.125
-1.591 0.918 7.125
0.000 0.000 9.640
1.598 -0.923 12.173
0.000 1.845 12.173
1.591 0.918 7.125
0.000 0.000 24.995
0.000 0.000 19.423
```

- Formation enthalpy at 0 K: -0.2478 eV/atom
- SG: R3m

=====

Material: BaCd4Sn
Method: DFT, PBE
State: relaxed

Cell and atoms, written as POSCAR:
```
BaCd4Sn
1.0
0.000 4.388 4.388
4.388 0.000 4.388
4.388 4.388 0.000
Ba Cd Sn
1 4 1
Cartesian
0.000 0.000 0.000
3.298 3.298 3.298
5.478 5.478 3.298
5.478 3.298 5.478
3.298 5.478 5.478
6.582 6.582 6.582
```

- Formation enthalpy at 0 K: -0.1658 eV/atom
- SG: F-43m

=====

It is found that the ρ values, taken in the order of the records, are 7.51 5.66 6.43 6.26 5.45 4.84 4.89 6.16 6.16 3.49 6.70 5.17 6.39 6.54 7.15 4.00 5.34 7.26 6.04 5.40 6.45 6.23 6.66 6.94 g cm⁻³.